Record 1
## BeAl4Co (PBE)

Data for a relaxed structure of BeAl4Co.

Results
Its magnetization is 0.8 μB per cell.

Lattice parameters (Å, degrees): 5.0216 5.0216 5.0216 60.00 60.00 60.00
With the nearest neighbours (Å) after each atom.
Fractional positions:
Al1 0.8757 0.3748 0.3748  6 Al 2.51-2.52
Co1 0.0000 0.0000 0.0000  12 Al 2.94, 4 Be 3.08
Be1 0.7500 0.7500 0.7500  12 Al 2.94, 4 Co 3.08
Al2 0.3748 0.3748 0.3748  6 Al 2.51-2.52
Al3 0.3748 0.3748 0.8757  6 Al 2.51-2.52
Al4 0.3748 0.8757 0.3748  6 Al 2.51-2.52

***

Record 2
## BeAlCo (PBE)

Data for a relaxed structure of BeAlCo.

Results
The value obtained for the energy relative to the lowest polymorph listed for this composition is 0.421 eV per atom. Its magnetization is 0.0 μB per cell.

Lattice parameters (Å, degrees): 3.7971 3.7971 3.7971 60.00 60.00 60.00
With the nearest neighbours (Å) after each atom.
Fractional positions:
Al1 0.0000 0.0000 0.0000  4 Co 2.33
Be1 0.5000 0.5000 0.5000  4 Co 2.33
Co1 0.7500 0.7500 0.7500  4 Al 2.33, 4 Be 2.33

***

Record 3
## BeAl3Co (PBE)

Data for a relaxed structure of BeAl3Co.

Results
The value obtained for the energy relative to the lowest polymorph listed for this composition is 0.000 eV per atom. Its magnetization is 0.0 μB per cell.

Lattice parameters (Å, degrees): 4.4284 4.4284 4.4284 90.00 90.00 90.00
With the nearest neighbours (Å) after each atom.
Fractional positions:
Be1 0.5000 0.5000 0.5000  12 Al 3.13
Al1 0.0000 0.5000 0.0000  2 Co 2.21
Al2 0.5000 0.0000 0.0000  2 Co 2.21
Co1 0.0000 0.0000 0.0000  6 Al 2.21
Al3 0.0000 0.0000 0.5000  2 Co 2.21

***

Record 4
## Be2AlCo2 (PBE)

Data for a relaxed structure of Be2AlCo2.

Results
The value obtained for the energy relative to the lowest polymorph listed for this composition is 0.195 eV per atom. Its magnetization is 0.0 μB per cell.

Lattice parameters (Å, degrees): 6.1408 6.1408 2.7133 90.00 90.00 90.00
With the nearest neighbours (Å) after each atom.
Fractional positions:
Be1 0.6426 0.8574 0.5000  6 Co 2.25-2.26, 1 Be 2.48
Co1 0.8505 0.6495 0.0000  6 Be 2.25-2.26, 2 Al 2.34
Co2 0.3505 0.8505 0.0000  6 Be 2.25-2.26, 2 Al 2.34
Al1 0.0000 0.0000 0.0000  4 Co 2.34
Co3 0.6495 0.1495 0.0000  6 Be 2.25-2.26, 2 Al 2.34
Co4 0.1495 0.3505 0.0000  6 Be 2.25-2.26, 2 Al 2.34
Be2 0.1426 0.6426 0.5000  6 Co 2.25-2.26, 1 Be 2.48
Be3 0.8574 0.3574 0.5000  6 Co 2.25-2.26, 1 Be 2.48
Be4 0.3574 0.1426 0.5000  6 Co 2.25-2.26, 1 Be 2.48
Al2 0.5000 0.5000 0.0000  4 Co 2.34

***

Record 5
## BeAlCo (PBE)

Data for a relaxed structure of BeAlCo.

Results
The value obtained for the energy relative to the lowest polymorph listed for this composition is 0.000 eV per atom. Its magnetization is 0.3 μB per cell.

Lattice parameters (Å, degrees): 4.5133 4.5133 2.8033 71.91 71.91 36.19
With the nearest neighbours (Å) after each atom.
Fractional positions:
Be1 0.6869 0.6868 0.3131  4 Co 2.24, 4 Al 2.51
Al1 0.9967 0.9967 0.0033  5 Co 2.46-2.59, 5 Be 2.51
Co1 0.3164 0.3165 0.6836  4 Be 2.24, 4 Al 2.46

***

Record 6
## BeAlCo4 (PBE)

Data for a relaxed structure of BeAlCo4.

Results
Its magnetization is 4.9 μB per cell.

Lattice parameters (Å, degrees): 4.6204 4.6204 4.6204 60.00 60.00 60.00
With the nearest neighbours (Å) after each atom.
Fractional positions:
Be1 0.0000 0.0000 0.0000  12 Co 2.71, 4 Al 2.83
Co1 0.8757 0.3748 0.3748  6 Co 2.31
Al1 0.7500 0.7500 0.7500  12 Co 2.71, 4 Be 2.83
Co2 0.3748 0.3748 0.8757  6 Co 2.31
Co3 0.3748 0.8757 0.3748  6 Co 2.31
Co4 0.3748 0.3748 0.3748  6 Co 2.31

***

Record 7
## Be2AlCo (PBE)

Data for a relaxed structure of Be2AlCo.

Results
Its magnetization is 0.0 μB per cell.

Lattice parameters (Å, degrees): 2.7984 2.7994 5.1578 90.00 90.00 90.00
With the nearest neighbours (Å) after each atom.
Fractional positions:
Be1 0.0000 0.0000 0.4594  1 Be 2.16, 4 Co 2.25
Be2 0.0000 0.0000 0.0406  1 Be 2.16, 4 Co 2.25
Co1 0.5000 0.5000 0.2500  8 Be 2.25
Al1 0.5000 0.5000 0.7500  8 Be 2.48, 2 Co 2.58

***

Record 8
## BeAl2Co (PBE)

Data for a relaxed structure of BeAl2Co.

Results
Its magnetization is 0.0 μB per cell.

Lattice parameters (Å, degrees): 6.3507 3.9699 2.9577 90.03 62.25 128.79
With the nearest neighbours (Å) after each atom.
Fractional positions:
Al1 0.5000 0.0000 0.5000  4 Co 2.47-2.48, 4 Be 2.48
Al2 0.0000 0.0000 0.0000  4 Be 2.47-2.48, 4 Co 2.48
Co1 0.5000 0.5000 0.0000  8 Al 2.47-2.48
Be1 0.0000 0.5000 0.5000  8 Al 2.47-2.48

***

Asked for DOS(E_F) across the records above, the calculation gives 2.41, 1.45, 2.48, 3.13, 1.48, 6.96, 1.57, 1.70 states/eV/f.u. in order.
Asked for mass density across the records above, the calculation gives 3.3, 4.1, 2.8, 5.3, 4.9, 6.5, 4.3, 4.3 g/cm3 in order.
Asked for energy of formation from the pure elements across the records above, the calculation gives 0.433, 0.056, 0.339, -0.202, -0.366, 0.076, -0.204, -0.256 eV per atom in order.